(1)
Computed, not measured: a relaxed Pm2Tm3Th crystal at the PBE level of DFT.

```
data_Pm2Tm3Th
_chemical_formula_sum 'Pm8 Tm12 Th4'
_cell_length_a 9.397
_cell_length_b 12.319
_cell_length_c 6.827
_cell_angle_alpha 90.00
_cell_angle_beta 90.00
_cell_angle_gamma 90.00
_space_group_name_H-M_alt 'C m c 21'
_space_group_IT_number 36
_space_group_name_Hall 'C 2c -2'
loop_
_atom_site_label
_atom_site_type_symbol
_atom_site_fract_x
_atom_site_fract_y
_atom_site_fract_z
_atom_site_occupancy
Pm1 Pm 0.173 0.148 0.000 1
Tm1 Tm 0.000 0.352 0.250 1
Tm2 Tm 0.172 0.119 0.499 1
Th1 Th 0.000 0.356 0.749 1
```

**E above lowest polymorph**: 197 meV/atom
**E_tot**: -4.819 eV/atom

---

(2)
Computed, not measured: a relaxed PmTm4Th2 crystal at the PBE level of DFT.

```
data_PmTm4Th2
_chemical_formula_sum 'Pm2 Tm8 Th4'
_cell_length_a 5.529
_cell_length_b 5.529
_cell_length_c 16.607
_cell_angle_alpha 90.00
_cell_angle_beta 90.00
_cell_angle_gamma 90.00
_space_group_name_H-M_alt 'I 4/m m m'
_space_group_IT_number 139
_space_group_name_Hall '-I 4 2'
loop_
_atom_site_label
_atom_site_type_symbol
_atom_site_fract_x
_atom_site_fract_y
_atom_site_fract_z
_atom_site_occupancy
Pm1 Pm 0.000 0.000 0.000 1
Tm1 Tm 0.000 0.000 0.179 1
Tm2 Tm 0.000 0.500 0.000 1
Th1 Th 0.000 0.000 0.385 1
```

**E above lowest polymorph**: 718 meV/atom
**E_tot**: -4.546 eV/atom

---

(3)
Computed, not measured: a relaxed Pm6Tm8Th crystal at the PBE level of DFT.

```
data_Pm6Tm8Th
_chemical_formula_sum 'Pm18 Tm24 Th3'
_cell_length_a 9.0183
_cell_length_b 9.0183
_cell_length_c 20.7531
_cell_angle_alpha 90.00
_cell_angle_beta 90.00
_cell_angle_gamma 120.00
_space_group_name_H-M_alt 'R -3'
_space_group_IT_number 148
_space_group_name_Hall '-R 3'
loop_
_atom_site_label
_atom_site_type_symbol
_atom_site_fract_x
_atom_site_fract_y
_atom_site_fract_z
_atom_site_occupancy
Pm1 Pm 0.0597 0.2480 0.2112 1
Tm1 Tm 0.0000 0.0000 0.0771 1
Tm2 Tm 0.0812 0.5620 0.3055 1
Th1 Th 0.0000 0.0000 0.5000 1
```

**E_tot**: -4.655 eV/atom

---

(4)
Computed, not measured: a relaxed Pm2TmTh crystal at the PBE level of DFT.

```
data_Pm2TmTh
_chemical_formula_sum 'Pm8 Tm4 Th4'
_cell_length_a 12.434
_cell_length_b 7.145
_cell_length_c 6.245
_cell_angle_alpha 90.00
_cell_angle_beta 109.26
_cell_angle_gamma 90.00
_space_group_name_H-M_alt 'C 1 2/c 1'
_space_group_IT_number 15
_space_group_name_Hall '-C 2yc'
loop_
_atom_site_label
_atom_site_type_symbol
_atom_site_fract_x
_atom_site_fract_y
_atom_site_fract_z
_atom_site_occupancy
Pm1 Pm 0.248 0.127 0.250 1
Tm1 Tm 0.000 0.373 0.250 1
Th1 Th 0.000 0.117 0.750 1
```

**E above lowest polymorph**: 19 meV/atom
**E_tot**: -5.304 eV/atom

---

(5)
Computed, not measured: a relaxed Pm4Tm15Th crystal at the PBE level of DFT.

```
data_Pm4Tm15Th
_chemical_formula_sum 'Pm4 Tm15 Th1'
_cell_length_a 4.994
_cell_length_b 4.994
_cell_length_c 24.861
_cell_angle_alpha 90.00
_cell_angle_beta 90.00
_cell_angle_gamma 90.00
_space_group_name_H-M_alt 'P 4/m m m'
_space_group_IT_number 123
_space_group_name_Hall '-P 4 2'
loop_
_atom_site_label
_atom_site_type_symbol
_atom_site_fract_x
_atom_site_fract_y
_atom_site_fract_z
_atom_site_occupancy
Pm1 Pm 0.000 0.000 0.100 1
Pm2 Pm 0.000 0.000 0.301 1
Tm1 Tm 0.000 0.500 0.000 1
Tm2 Tm 0.000 0.500 0.200 1
Tm3 Tm 0.000 0.500 0.402 1
Tm4 Tm 0.500 0.500 0.100 1
Tm5 Tm 0.500 0.500 0.300 1
Tm6 Tm 0.500 0.500 0.500 1
Th1 Th 0.000 0.000 0.500 1
```

**E_tot**: -4.648 eV/atom

---

(6)
Computed, not measured: a relaxed PmTmTh2 crystal at the PBE level of DFT.

```
data_PmTmTh2
_chemical_formula_sum 'Pm3 Tm3 Th6'
_cell_length_a 3.5668
_cell_length_b 3.5668
_cell_length_c 35.0233
_cell_angle_alpha 90.00
_cell_angle_beta 90.00
_cell_angle_gamma 120.00
_space_group_name_H-M_alt 'R 3 m'
_space_group_IT_number 160
_space_group_name_Hall 'R 3 -2"'
loop_
_atom_site_label
_atom_site_type_symbol
_atom_site_fract_x
_atom_site_fract_y
_atom_site_fract_z
_atom_site_occupancy
Pm1 Pm 0.0000 0.0000 0.0000 1
Tm1 Tm 0.0000 0.0000 0.1698 1
Th1 Th 0.0000 0.0000 0.5837 1
Th2 Th 0.0000 0.0000 0.7535 1
```

**E above lowest polymorph**: 17 meV/atom
**E_tot**: -5.969 eV/atom

---

| no. | energy relative to the elements (eV/atom) |
| --- | --- |
| 1 | 0.237 |
| 2 | 0.808 |
| 3 | 0.125 |
| 4 | 0.044 |
| 5 | 0.027 |
| 6 | 0.046 |